1.
The following is a PBE-GGA calculation of a relaxed structure of As2S8Br, from the Alexandria database.

a b c (Å): 13.0162 7.6327 11.1299
angles (deg): 121.94 144.46 86.02
Closest atoms and distances in Å follow each position.
Atoms (fractional coordinates):
As 0.6843 0.8156 0.4324  3 S 2.24-2.38
As 0.3157 0.1844 0.5676  3 S 2.24-2.38
S 0.9699 0.8320 0.3642  2 S 2.01-2.13
S 0.6238 0.5762 0.8618  1 S 2.01
S 0.6137 0.0966 0.4795  1 S 2.08, 1 As 2.24
S 0.3863 0.9034 0.5205  1 S 2.08, 1 As 2.24
S 0.3762 0.4238 0.1382  1 S 2.01
S 0.0301 0.1680 0.6358  2 S 2.01-2.13
S 0.3918 0.7584 0.0156  1 S 2.08
S 0.6082 0.2416 0.9844  1 S 2.08
Br 0.0000 0.0000 0.0000  2 As 2.81

Results
For the total energy, the calculation gives -43.3 eV/cell. The total magnetization is 0.000 μB/atom.

---

2.
The following is a PBE-GGA calculation of a relaxed structure of Tb2NpH, from the Alexandria database.

a b c (Å): 3.3668 3.3668 9.5272
angles (deg): 79.82 79.82 60.00
Closest atoms and distances in Å follow each position.
Atoms (fractional coordinates):
Np 0.0000 0.0000 0.0000  2 Tb 3.28, 6 Np 3.37
H 0.5000 0.5000 0.5000  6 Tb 2.39
Tb 0.1171 0.1171 0.6486  3 H 2.39
Tb 0.8829 0.8829 0.3514  3 H 2.39

Results
For the total energy, the calculation gives -24.5 eV/cell. The total magnetization is 1.137 μB/atom.

---

3.
The following is a PBE-GGA calculation of a relaxed structure of CaHfCoSn2, from the Alexandria database.

a b c (Å): 4.9184 4.9184 4.8982
angles (deg): 90.00 90.00 90.00
Closest atoms and distances in Å follow each position.
Atoms (fractional coordinates):
Co 0.0000 0.0000 0.0000  2 Ca 2.45, 4 Sn 2.46
Ca 0.0000 0.0000 0.5000  2 Co 2.45
Hf 0.5000 0.5000 0.5000  8 Sn 3.47, 4 Ca 3.48
Sn 0.0000 0.5000 0.0000  2 Co 2.46
Sn 0.5000 0.0000 0.0000  2 Co 2.46

Results
The calculation puts the formation energy from the elements at 29 kJ per mole of atoms. The total magnetization is 0.209 μB/atom.

---

4.
The following is a PBE-GGA calculation of a relaxed structure of Ce2AsF3, from the Alexandria database.

a b c (Å): 4.0049 7.8152 7.9770
angles (deg): 115.46 90.00 104.85
Closest atoms and distances in Å follow each position.
Atoms (fractional coordinates):
Ce 0.4802 0.9604 0.7750  4 F 2.38-2.40
Ce 0.5198 0.0396 0.2250  4 F 2.38-2.40
Ce 0.7901 0.5803 0.2865  4 F 2.42-2.48
Ce 0.2099 0.4197 0.7135  4 F 2.42-2.48
As 0.8675 0.7349 0.9535  7 Ce 3.05-3.34
As 0.1325 0.2651 0.0465  7 Ce 3.05-3.34
F 0.3101 0.6203 0.5475  2 Ce 2.40-2.42, 3 F 2.58-2.59
F 0.9408 0.8815 0.5910  3 Ce 2.40-2.48
F 0.6060 0.2121 0.6733  3 Ce 2.38-2.48, 1 F 2.59
F 0.3940 0.7879 0.3267  3 Ce 2.38-2.48, 1 F 2.59
F 0.0592 0.1185 0.4090  3 Ce 2.40-2.48
F 0.6899 0.3797 0.4525  2 Ce 2.40-2.42, 3 F 2.58-2.59

Results
For the total energy, the calculation gives -80.5 eV/cell. The total magnetization is 0.334 μB/atom.

---

5.
The following is a PBE-GGA calculation of a relaxed structure of BeSbAsBr2, from the Alexandria database.

a b c (Å): 4.6348 4.6348 5.1361
angles (deg): 90.00 90.00 90.00
Closest atoms and distances in Å follow each position.
Atoms (fractional coordinates):
Sb 0.5000 0.5000 0.5000  4 As 3.28, 8 Br 3.46
As 0.0000 0.0000 0.5000  2 Be 2.57
Br 0.0000 0.5000 0.0000  2 Be 2.32
Br 0.5000 0.0000 0.0000  2 Be 2.32
Be 0.0000 0.0000 0.0000  4 Br 2.32, 2 As 2.57

Results
The relative energy among the computed polymorphs comes out at 0 meV per atom. The total magnetization is 0.000 μB/atom.

---

6.
The following is a PBE-GGA calculation of a relaxed structure of MgAs, from the Alexandria database.

a b c (Å): 4.4992 5.7363 6.3081
angles (deg): 90.00 90.00 90.00
Closest atoms and distances in Å follow each position.
Atoms (fractional coordinates):
Mg 0.7500 0.2842 0.1252  6 As 2.76-2.93
Mg 0.2500 0.7842 0.3748  6 As 2.76-2.93
Mg 0.7500 0.2158 0.6252  6 As 2.76-2.93
Mg 0.2500 0.7158 0.8748  6 As 2.76-2.93
As 0.7500 0.7732 0.1226  6 Mg 2.76-2.93
As 0.2500 0.2732 0.3774  6 Mg 2.76-2.93
As 0.7500 0.7268 0.6226  6 Mg 2.76-2.93
As 0.2500 0.2268 0.8774  6 Mg 2.76-2.93

Results
The relative energy among the computed polymorphs comes out at 67 meV per atom. The calculation puts the formation energy from the elements at -34 kJ per mole of atoms. The total magnetization is 0.000 μB/atom.

---

7.
The following is a PBE-GGA calculation of a relaxed structure of InTc2Rh, from the Alexandria database.

a b c (Å): 2.7966 2.7966 8.0974
angles (deg): 90.00 90.00 90.00
Closest atoms and distances in Å follow each position.
Atoms (fractional coordinates):
In 0.5000 0.5000 0.2500  4 In 2.80, 8 Tc 2.94
Rh 0.5000 0.5000 0.7500  8 Tc 2.73, 4 Rh 2.80
Tc 0.0000 0.0000 0.9820  4 Rh 2.73, 4 Tc 2.80, 4 In 2.94
Tc 0.0000 0.0000 0.5180  4 Rh 2.73, 4 Tc 2.80, 4 In 2.94

Results
The calculation puts the formation energy from the elements at 23 kJ per mole of atoms. The total magnetization is 0.000 μB/atom.

---

8.
The following is a PBE-GGA calculation of a relaxed structure of Ho2Ge4RuPt3, from the Alexandria database.

a b c (Å): 4.1755 4.1755 10.5554
angles (deg): 90.00 90.00 90.00
Closest atoms and distances in Å follow each position.
Atoms (fractional coordinates):
Ho 0.5000 0.0000 0.2538  6 Pt 3.19-3.33, 8 Ge 3.20-3.40, 2 Ru 3.33
Ho 0.0000 0.5000 0.7462  6 Pt 3.19-3.33, 8 Ge 3.20-3.40, 2 Ru 3.33
Ge 0.5000 0.5000 0.0000  4 Pt 2.55
Ge 0.0000 0.0000 0.0000  4 Pt 2.55
Ge 0.5000 0.0000 0.6298  3 Pt 2.44-2.50, 2 Ru 2.50
Ge 0.0000 0.5000 0.3702  3 Pt 2.44-2.50, 2 Ru 2.50
Ru 0.5000 0.5000 0.5000  4 Ge 2.50
Pt 0.0000 0.0000 0.5000  4 Ge 2.50
Pt 0.5000 0.0000 0.8606  5 Ge 2.44-2.55
Pt 0.0000 0.5000 0.1394  5 Ge 2.44-2.55

Results
The calculation puts the formation energy from the elements at -81 kJ per mole of atoms. The total magnetization is 0.000 μB/atom.

---

9.
The following is a PBE-GGA calculation of a relaxed structure of BaSr2Y, from the Alexandria database.

a b c (Å): 7.1119 7.1119 7.0740
angles (deg): 78.93 78.93 33.46
Closest atoms and distances in Å follow each position.
Atoms (fractional coordinates):
Ba 0.2403 0.2403 0.2672  3 Y 3.94-4.18, 7 Sr 3.96-4.23, 2 Ba 4.09
Sr 0.0009 0.0009 0.9956  5 Sr 4.07-4.17, 4 Y 4.07-4.11, 3 Ba 4.10-4.21
Sr 0.7595 0.7595 0.7378  3 Y 3.94-4.22, 4 Ba 3.96-4.23, 5 Sr 4.07-4.17
Y 0.4993 0.4993 0.4994  7 Sr 3.94-4.22, 3 Ba 3.94-4.18, 2 Y 4.09

Results
The relative energy among the computed polymorphs comes out at 48 meV per atom. The calculation puts the formation energy from the elements at 19 kJ per mole of atoms. The total magnetization is 0.267 μB/atom.

---

10.
The following is a PBE-GGA calculation of a relaxed structure of CdOs, from the Alexandria database.

a b c (Å): 4.3310 4.3310 4.3310
angles (deg): 90.00 120.00 60.00
Closest atoms and distances in Å follow each position.
Atoms (fractional coordinates):
Os 0.5000 0.2500 0.2500  4 Cd 2.65
Cd 0.0000 0.0000 0.0000  4 Os 2.65

Results
The calculation puts the formation energy from the elements at 245 kJ per mole of atoms. The total magnetization is 1.066 μB/atom.

---

11.
The following is a PBE-GGA calculation of a relaxed structure of Pm4Pr3Sm3, from the Alexandria database.

a b c (Å): 3.8055 9.6485 9.6485
angles (deg): 90.19 90.00 90.00
Closest atoms and distances in Å follow each position.
Atoms (fractional coordinates):
Pm 0.0000 0.6273 0.3727  6 Pr 3.34-3.49, 1 Pm 3.50
Pm 0.0000 0.3710 0.6290  2 Sm 3.32, 4 Pr 3.49, 1 Pm 3.50
Pm 0.0000 0.8746 0.8712  4 Pr 3.33-3.50, 1 Pm 3.46, 2 Sm 3.47
Pm 0.0000 0.1288 0.1254  4 Pr 3.33-3.50, 1 Pm 3.46, 2 Sm 3.47
Pr 0.5000 0.8280 0.1720  6 Pm 3.34-3.50
Pr 0.5000 0.3272 0.3283  6 Pm 3.33-3.49
Pr 0.5000 0.6717 0.6728  6 Pm 3.33-3.49
Sm 0.0000 0.4979 0.9988  4 Pm 3.77-3.84, 4 Sm 3.81-4.02, 6 Pr 4.05-4.06
Sm 0.0000 0.0012 0.5021  4 Pm 3.77-3.84, 4 Sm 3.81-4.02, 6 Pr 4.05-4.06
Sm 0.5000 0.1723 0.8277  6 Pm 3.32-3.47

Results
The calculation puts the formation energy from the elements at 10 kJ per mole of atoms. The total magnetization is 0.000 μB/atom.

---

12.
The following is a PBE-GGA calculation of a relaxed structure of CaSm4Ga5, from the Alexandria database.

a b c (Å): 3.6471 3.6471 18.3370
angles (deg): 90.00 90.00 90.00
Closest atoms and distances in Å follow each position.
Atoms (fractional coordinates):
Ca 0.0000 0.0000 0.0000  8 Ga 3.18
Sm 0.0000 0.0000 0.1996  8 Ga 3.15-3.18
Sm 0.0000 0.0000 0.4008  8 Ga 3.16
Sm 0.0000 0.0000 0.5992  8 Ga 3.16
Sm 0.0000 0.0000 0.8004  8 Ga 3.15-3.18
Ga 0.5000 0.5000 0.1010  4 Sm 3.15, 4 Ca 3.18
Ga 0.5000 0.5000 0.3015  8 Sm 3.16-3.18
Ga 0.5000 0.5000 0.5000  8 Sm 3.16
Ga 0.5000 0.5000 0.6985  8 Sm 3.16-3.18
Ga 0.5000 0.5000 0.8990  4 Sm 3.15, 4 Ca 3.18

Results
The calculation puts the formation energy from the elements at -52 kJ per mole of atoms. The total magnetization is 0.000 μB/atom.

---

13.
The following is a PBE-GGA calculation of a relaxed structure of CsSiTc3, from the Alexandria database.

a b c (Å): 4.9588 4.9588 4.9588
angles (deg): 90.00 90.00 90.00
Closest atoms and distances in Å follow each position.
Atoms (fractional coordinates):
Cs 0.0000 0.0000 0.0000  6 Tc 2.48
Si 0.5000 0.5000 0.5000  12 Tc 3.51
Tc 0.0000 0.5000 0.0000  2 Cs 2.48
Tc 0.0000 0.0000 0.5000  2 Cs 2.48
Tc 0.5000 0.0000 0.0000  2 Cs 2.48

Results
The relative energy among the computed polymorphs comes out at 1843 meV per atom. The total magnetization is 1.180 μB/atom.